Record 1
VASP calculation (PBE) on a relaxed structure of Er6CoBi2.

## Properties
ΔE_f	-3.431	kcal/mol of atoms
density of states at the Fermi level	21.44	states/eV/cell

abc: 6.690 6.690 13.828
angles: 90.00 90.00 90.00
Space group P4_2/mnm (No. 136)
Symmetry-distinct sites (fractional):
Er 0.181 0.181 0.134 x8
Er 0.221 0.221 0.500 x4
Co 0.000 0.000 0.000 x2
Bi 0.000 0.000 0.324 x4

---

Record 2
VASP calculation (PBE) on a relaxed structure of AcDy2Te3.

## Properties
formation energy without anion corrections	-1.324	eV per atom
density of states at the Fermi level	6.47	states/eV/cell

abc: 7.534 4.354 11.922
angles: 90.00 102.03 90.00
Space group P2_1/m (No. 11)
Symmetry-distinct sites (fractional):
Ac 0.024 0.250 0.329 x2
Dy 0.246 0.250 0.986 x2
Dy 0.472 0.250 0.676 x2
Te 0.151 0.750 0.149 x2
Te 0.278 0.750 0.504 x2
Te 0.384 0.750 0.844 x2

---

Record 3
VASP calculation (PBE) on a relaxed structure of NaZrTlBr6.

## Properties
formation energy without anion corrections	-1.320	eV per atom
density of states at the Fermi level	0.00	states/eV/cell

abc: 7.4514 7.4514 13.8408
angles: 90.00 90.00 120.00
Space group P-31c (No. 163)
Symmetry-distinct sites (fractional):
Na 0.3333 0.6667 0.2500 x2
Zr 0.3333 0.6667 0.7500 x2
Tl 0.0000 0.0000 0.0000 x2
Br 0.0338 0.3866 0.6382 x12

---

Record 4
VASP calculation (PBE) on a relaxed structure of NaPuAgI6.

## Properties
formation energy without anion corrections	-0.777	eV per atom
density of states at the Fermi level	10.64	states/eV/cell

abc: 7.6429 7.6429 7.2584
angles: 90.00 90.00 120.00
Space group P312 (No. 149)
Symmetry-distinct sites (fractional):
Na 0.0000 0.0000 0.0000 x1
Pu 0.6667 0.3333 0.5000 x1
Ag 0.3333 0.6667 0.5000 x1
I 0.3520 0.0042 0.2583 x6

---

Record 5
VASP calculation (PBE) on a relaxed structure of CeTmLu.

## Properties
distance to the lowest polymorph of the same formula	1.14	kcal/mol of atoms
ΔE_f	2.834	kcal/mol of atoms
density of states at the Fermi level	6.89	states/eV/cell

abc: 5.5152 5.5152 3.3708
angles: 90.00 90.00 120.00
Space group P-6m2 (No. 187)
Symmetry-distinct sites (fractional):
Ce 0.0000 0.0000 0.0000 x1
Tm 0.3333 0.6667 0.5000 x1
Lu 0.6667 0.3333 0.0000 x1

---

Record 6
VASP calculation (PBE) on a relaxed structure of GaFeAsSe2.

## Properties
distance to the lowest polymorph of the same formula	0.00	kcal/mol of atoms
formation energy without anion corrections	0.272	eV per atom
density of states at the Fermi level	5.83	states/eV/cell

abc: 4.908 4.908 4.388
angles: 90.00 90.00 90.00
Space group P4/mmm (No. 123)
Symmetry-distinct sites (fractional):
Ga 0.000 0.000 0.000 x1
Fe 0.500 0.500 0.500 x1
As 0.500 0.500 0.000 x1
Se 0.000 0.500 0.500 x2

---

Record 7
VASP calculation (PBE) on a relaxed structure of La3ScOs.

## Properties
distance to the lowest polymorph of the same formula	0.00	kcal/mol of atoms
ΔE_f	2.380	kcal/mol of atoms
density of states at the Fermi level	6.18	states/eV/cell

abc: 5.613 5.613 5.613
angles: 90.00 90.00 90.00
Space group Pm-3m (No. 221)
Symmetry-distinct sites (fractional):
La 0.000 0.000 0.500 x3
Sc 0.500 0.500 0.500 x1
Os 0.000 0.000 0.000 x1

---

Record 8
VASP calculation (PBE) on a relaxed structure of Sm3DyHo6Tm2.

## Properties
ΔE_f	0.451	kcal/mol of atoms
density of states at the Fermi level	31.94	states/eV/cell

abc: 6.143 10.631 11.733
angles: 90.00 100.01 90.00
Space group C2/m (No. 12)
Symmetry-distinct sites (fractional):
Sm 0.000 0.000 0.000 x2
Sm 0.000 0.333 0.000 x4
Dy 0.000 0.500 0.500 x2
Ho 0.249 0.000 0.747 x4
Ho 0.249 0.333 0.747 x8
Tm 0.000 0.167 0.500 x4

---

Record 9
VASP calculation (PBE) on a relaxed structure of Na2HfAuS4.

## Properties
formation energy without anion corrections	-0.885	eV per atom
density of states at the Fermi level	9.41	states/eV/cell

abc: 7.301 7.301 6.395
angles: 90.00 90.00 90.00
Space group I-42m (No. 121)
Symmetry-distinct sites (fractional):
Na 0.000 0.500 0.000 x4
Hf 0.000 0.000 0.000 x2
Au 0.000 0.000 0.500 x2
S 0.184 0.184 0.232 x8

---

Record 10
VASP calculation (PBE) on a relaxed structure of CsCaS2N.

## Properties
distance to the lowest polymorph of the same formula	20.29	kcal/mol of atoms
formation energy without anion corrections	0.894	eV per atom
density of states at the Fermi level	2.94	states/eV/cell

abc: 5.635 5.635 4.455
angles: 90.00 90.00 90.00
Space group P4/mmm (No. 123)
Symmetry-distinct sites (fractional):
Cs 0.000 0.000 0.000 x1
Ca 0.500 0.500 0.500 x1
S 0.000 0.500 0.000 x2
N 0.000 0.000 0.500 x1

---

Record 11
VASP calculation (PBE) on a relaxed structure of La4YS7.

## Properties
formation energy without anion corrections	-2.165	eV per atom
density of states at the Fermi level	3.49	states/eV/cell

abc: 13.539 4.013 11.965
angles: 90.00 105.59 90.00
Space group Cm (No. 8)
Symmetry-distinct sites (fractional):
La 0.000 0.000 0.000 x2
La 0.087 0.500 0.379 x2
La 0.191 0.000 0.766 x2
La 0.388 0.500 0.570 x2
Y 0.276 0.500 0.151 x2
S 0.048 0.500 0.624 x2
S 0.131 0.500 0.932 x2
S 0.159 0.000 0.220 x2
S 0.227 0.000 0.522 x2
S 0.346 0.500 0.788 x2
S 0.382 0.000 0.076 x2
S 0.429 0.500 0.351 x2

---

Record 12
VASP calculation (PBE) on a relaxed structure of CaYAu.

## Properties
distance to the lowest polymorph of the same formula	4.04	kcal/mol of atoms
ΔE_f	-8.376	kcal/mol of atoms
density of states at the Fermi level	2.68	states/eV/cell

abc: 4.8669 4.8669 4.3333
angles: 90.00 90.00 120.00
Space group P3m1 (No. 156)
Symmetry-distinct sites (fractional):
Ca 0.0000 0.0000 0.0000 x1
Y 0.6667 0.3333 0.4929 x1
Au 0.3333 0.6667 0.6540 x1